Entry 1:
# PBE-GGA SrCd2Pb, relaxed
data_SrCd2Pb
_symmetry_space_group_name_H-M 'P m m m'
_symmetry_Int_Tables_number 47
_symmetry_space_group_name_Hall '-P 2 2'
_cell_length_a 3.5914
_cell_length_b 5.4766
_cell_length_c 6.1276
_cell_angle_alpha 90.00
_cell_angle_beta 90.00
_cell_angle_gamma 90.00
loop_
_atom_site_label
_atom_site_fract_x
_atom_site_fract_y
_atom_site_fract_z
_atom_site_occupancy
Sr1 0.0000 0.0000 0.0000 1
Cd1 0.5000 0.5000 0.2414 1
Pb1 0.5000 0.0000 0.5000 1
# D(E_F) = 0.343 states/eV per atom
# E_form = -0.9 eV per formula unit

---

Entry 2:
# PBE-GGA Sr3Cd8Pb, relaxed
data_Sr3Cd8Pb
_symmetry_space_group_name_H-M 'R 3 m'
_symmetry_Int_Tables_number 160
_symmetry_space_group_name_Hall 'R 3 -2"'
_cell_length_a 6.1742
_cell_length_b 6.1742
_cell_length_c 30.2941
_cell_angle_alpha 90.00
_cell_angle_beta 90.00
_cell_angle_gamma 120.00
loop_
_atom_site_label
_atom_site_fract_x
_atom_site_fract_y
_atom_site_fract_z
_atom_site_occupancy
Sr1 0.0000 0.0000 0.0000 1
Sr2 0.0000 0.0000 0.1274 1
Sr3 0.0000 0.0000 0.6198 1
Cd1 0.0000 0.0000 0.3114 1
Cd2 0.0000 0.0000 0.8126 1
Cd3 0.0007 0.5004 0.5629 1
Cd4 0.1670 0.3340 0.3953 1
Pb1 0.0000 0.0000 0.4969 1
# D(E_F) = 0.408 states/eV per atom
# E_form = -3.2 eV per formula unit

---

Entry 3:
# PBE-GGA Sr3Cd8Pb3, relaxed
data_Sr3Cd8Pb3
_symmetry_space_group_name_H-M 'I m m m'
_symmetry_Int_Tables_number 71
_symmetry_space_group_name_Hall '-I 2 2'
_cell_length_a 4.9086
_cell_length_b 11.3594
_cell_length_c 14.4995
_cell_angle_alpha 90.00
_cell_angle_beta 90.00
_cell_angle_gamma 90.00
loop_
_atom_site_label
_atom_site_fract_x
_atom_site_fract_y
_atom_site_fract_z
_atom_site_occupancy
Sr1 0.0000 0.0000 0.0000 1
Sr2 0.0000 0.0000 0.3096 1
Cd1 0.0000 0.2669 0.1483 1
Cd2 0.0000 0.3750 0.3332 1
Pb1 0.0000 0.2109 0.5000 1
Pb2 0.0000 0.5000 0.0000 1
# D(E_F) = 0.412 states/eV per atom
# E_form = -3.8 eV per formula unit

---

What did the first record say?
# PBE-GGA SrCd2Pb, relaxed
data_SrCd2Pb
_symmetry_space_group_name_H-M 'P m m m'
_symmetry_Int_Tables_number 47
_symmetry_space_group_name_Hall '-P 2 2'
_cell_length_a 3.5914
_cell_length_b 5.4766
_cell_length_c 6.1276
_cell_angle_alpha 90.00
_cell_angle_beta 90.00
_cell_angle_gamma 90.00
loop_
_atom_site_label
_atom_site_fract_x
_atom_site_fract_y
_atom_site_fract_z
_atom_site_occupancy
Sr1 0.0000 0.0000 0.0000 1
Cd1 0.5000 0.5000 0.2414 1
Pb1 0.5000 0.0000 0.5000 1
# D(E_F) = 0.343 states/eV per atom
# E_form = -0.9 eV per formula unit

---

What is the D(E_F) in the first record?
0.343 states/eV per atom

---

E_form of number 1 (SrCd2Pb)?
-0.9 eV per formula unit

---

Look up the D(E_F) of the second one.
0.408 states/eV per atom